Entry from Alexandria: a geometry-optimized BaN2Cl structure (PBE-GGA).

* ΔE_f (raw): 0.711 eV per atom
* energy above the lowest structure with this stoichiometry: 1.7435 eV/atom
* final energy: -17.6 eV/cell

Cell: 6.503 6.503 6.503 Å, 39.98 39.98 39.98°
Each line ends with the local moment (μB).
Atoms (fractional coordinates):
1 Ba 0.500 0.500 0.500  0.08
2 N 0.100 0.100 0.100  0.85
3 Cl 0.000 0.000 0.000  0.30
4 N 0.900 0.900 0.900  0.85


Entry from Alexandria: a geometry-optimized In5Ag structure (PBE-GGA).

* energy above the lowest structure with this stoichiometry: 0.2413 eV/atom
* formation enthalpy at 0 K: 1.52 eV/f.u.
* final energy: -15.0 eV/cell

Cell: 5.858 5.858 5.824 Å, 90.00 90.00 120.00°
Atoms (fractional coordinates):
1 In 0.000 0.500 0.500
2 In 0.333 0.667 0.000
3 Ag 0.000 0.000 0.000
4 In 0.667 0.333 0.000
5 In 0.500 0.500 0.500
6 In 0.500 0.000 0.500


Entry from Alexandria: a geometry-optimized ErBe2SiRh2 structure (PBE-GGA).

* ΔE_f (raw): -0.108 eV per atom
* final energy: -32.8 eV/cell

Cell: 4.041 4.041 5.542 Å, 90.00 90.00 90.00°
Atoms (fractional coordinates):
1 Rh 0.500 0.500 0.752
2 Er 0.000 0.000 0.500
3 Rh 0.500 0.500 0.248
4 Be 0.500 0.000 0.000
5 Si 0.000 0.000 0.000
6 Be 0.000 0.500 0.000


Entry from Alexandria: a geometry-optimized K3Tb2HoTe6 structure (PBE-GGA).

* ΔE_f (raw): -1.399 eV per atom
* final energy: -52.8 eV/cell

Cell: 7.796 7.796 8.645 Å, 98.65 98.65 120.00°
Atoms (fractional coordinates):
1 Te 0.070 0.401 0.209
2 Te 0.738 0.738 0.209
3 Tb 0.667 0.333 0.000
4 K 0.833 0.167 0.500
5 Te 0.930 0.599 0.791
6 Tb 0.333 0.667 0.000
7 Te 0.599 0.930 0.791
8 K 0.167 0.833 0.500
9 K 0.500 0.500 0.500
10 Te 0.401 0.070 0.209
11 Ho 0.000 0.000 0.000
12 Te 0.262 0.262 0.791


Entry from Alexandria: a geometry-optimized CsSrCa3 structure (PBE-GGA).

* energy above the lowest structure with this stoichiometry: 0.1348 eV/atom
* formation enthalpy at 0 K: 3.79 eV/f.u.
* final energy: -4.8 eV/cell

Cell: 6.379 6.379 6.379 Å, 90.00 90.00 90.00°
Each line ends with the local moment (μB).
Atoms (fractional coordinates):
1 Ca 0.500 0.000 0.000  0.10
2 Ca 0.000 0.500 0.000  0.17
3 Sr 0.500 0.500 0.500  0.04
4 Cs 0.000 0.000 0.000  0.20
5 Ca 0.000 0.000 0.500  0.27


Entry from Alexandria: a geometry-optimized Nd3DyAg structure (PBE-GGA).

* formation enthalpy at 0 K: 0.28 eV/f.u.
* final energy: -43.0 eV/cell

Cell: 7.241 7.241 8.148 Å, 99.39 117.71 107.05°
Atoms (fractional coordinates):
1 Nd 0.807 0.975 0.195
2 Nd 0.781 0.613 0.805
3 Ag 0.325 0.228 0.553
4 Ag 0.675 0.772 0.447
5 Nd 0.742 0.452 0.194
6 Nd 0.219 0.387 0.195
7 Dy 0.314 0.923 0.238
8 Nd 0.193 0.025 0.805
9 Dy 0.686 0.077 0.762
10 Nd 0.258 0.548 0.806


Entry from Alexandria: a geometry-optimized InSb2Te structure (PBE-GGA).

* ΔE_f (raw): 0.181 eV per atom
* energy above the lowest structure with this stoichiometry: 0.2669 eV/atom
* final energy: -13.4 eV/cell

Cell: 11.870 11.870 11.870 Å, 16.39 16.39 16.39°
Atoms (fractional coordinates):
1 Sb 0.258 0.258 0.258
2 Te 0.494 0.494 0.494
3 Sb 0.997 0.997 0.997
4 In 0.752 0.752 0.752


Entry from Alexandria: a geometry-optimized YIn2P2Pd7 structure (PBE-GGA).

* formation enthalpy at 0 K: -6.33 eV/f.u.
* final energy: -65.4 eV/cell

Cell: 4.038 4.038 13.760 Å, 81.55 81.55 89.86°
Atoms (fractional coordinates):
1 Y 0.000 0.000 0.000
2 Pd 0.631 0.631 0.576
3 P 0.378 0.378 0.255
4 In 0.109 0.109 0.618
5 In 0.891 0.891 0.382
6 P 0.622 0.622 0.745
7 Pd 0.500 0.500 0.000
8 Pd 0.585 0.081 0.838
9 Pd 0.919 0.415 0.162
10 Pd 0.369 0.369 0.424
11 Pd 0.081 0.585 0.838
12 Pd 0.415 0.919 0.162